An optimized crystal structure of PuCrGe2. Source: the Alexandria database, functional GGA-PBE.

The calculation puts the formation energy at -133 meV/atom. Its crystal system is trigonal.

The structure belongs to space group R-3m (No. 166, hexagonal axes); the cell edges are 4.1885, 4.1885 and 15.3632 Å and the angles 90.00°, 90.00° and 120.00°. The inequivalent atoms are Pu at (0.0000, 0.0000, 0.0000), Cr at (0.0000, 0.0000, 0.5000) and Ge at (0.0000, 0.0000, 0.2239).



An optimized crystal structure of BaGaSb. Source: the Alexandria database, functional GGA-PBE.

For the uncorrected formation energy, the calculation gives -47.49 kJ per mole of atoms. Its crystal system is orthorhombic.

The structure belongs to space group Pmc2_1 (No. 26); the cell edges are 7.7075, 6.5615 and 8.7084 Å and the angles 90.00°, 90.00° and 90.00°. The inequivalent atoms are Ba at (0.0000, 0.1120, 0.0000), Ba at (0.5000, 0.3507, 0.6529), Ga at (0.0000, 0.4285, 0.3265), Ga at (0.5000, 0.1652, 0.0136) and Sb at (0.2959, 0.1712, 0.2995).



Short version: M_tot = 7.8, 0.0 μB/f.u., in the order given.